# 1
Density functional theory data (PBE-GGA) for Th4Si3Os after structural relaxation.

abc: 4.2805 4.1025 10.9797
angles: 90.00 90.00 90.00
Sites, in units of the cell vectors:
Th: 0.5000 0.5000 0.3542
Th: 0.0000 0.5000 0.8596
Th: 0.0000 0.0000 0.1336
Th: 0.5000 0.0000 0.6402
Si: 0.0000 0.5000 0.5761
Si: 0.0000 0.0000 0.4292
Si: 0.5000 0.0000 0.9290
Os: 0.5000 0.5000 0.0781

The value obtained for the raw formation energy is -4.846 eV/f.u.

# 2
Density functional theory data (PBE-GGA) for GdCu5 after structural relaxation.

abc: 3.6940 4.1999 6.1992
angles: 109.80 90.00 90.00
Last column: magnetic moment on the atom in μB.
Sites, in units of the cell vectors:
Gd: 0.0000 0.0000 0.0000  7.05
Cu: 0.0000 0.6726 0.3453  0.02
Cu: 0.0000 0.3274 0.6547  0.02
Cu: 0.5000 0.5000 0.0000  0.03
Cu: 0.5000 0.1870 0.3740  0.02
Cu: 0.5000 0.8130 0.6260  0.02

The formation energy comes out at 6.47 kJ/mol of atoms.

# 3
Density functional theory data (PBE-GGA) for Pa2HgOs after structural relaxation.

abc: 3.8571 3.8571 9.8540
angles: 78.71 78.71 60.00
Last column: magnetic moment on the atom in μB.
Sites, in units of the cell vectors:
Pa: 0.1116 0.1116 0.6651  0.61
Pa: 0.8884 0.8884 0.3349  0.61
Os: 0.5000 0.5000 0.5000  -0.07
Hg: 0.0000 0.0000 0.0000  0.04

Its energy relative to the lowest polymorph listed for this composition is 1.86 eV/f.u. The formation energy comes out at 25.59 kJ/mol of atoms.

# 4
Density functional theory data (PBE-GGA) for Ho4Te3C after structural relaxation.

abc: 4.0495 7.3536 7.3536
angles: 109.09 90.00 90.00
Sites, in units of the cell vectors:
C: 0.5000 0.0000 0.0000
Te: 0.0000 0.0000 0.5000
Te: 0.5000 0.5000 0.5000
Te: 0.0000 0.5000 0.0000
Ho: 0.0000 0.1986 0.1986
Ho: 0.5000 0.7937 0.2063
Ho: 0.0000 0.8014 0.8014
Ho: 0.5000 0.2063 0.7937

Its energy relative to the lowest polymorph listed for this composition is 0.00 eV/f.u. The value obtained for the raw formation energy is -8.502 eV/f.u.

# 5
Density functional theory data (PBE-GGA) for CuHSeBr2 after structural relaxation.

abc: 5.1458 5.1458 4.7693
angles: 90.00 90.00 90.00
Last column: magnetic moment on the atom in μB.
Sites, in units of the cell vectors:
H: 0.5000 0.5000 0.5000  0.38
Cu: 0.0000 0.0000 0.0000  0.12
Se: 0.0000 0.0000 0.5000  0.80
Br: 0.0000 0.5000 0.0000  0.19
Br: 0.5000 0.0000 0.0000  0.19

Its energy relative to the lowest polymorph listed for this composition is 0.28 eV/f.u.

# 6
Density functional theory data (PBE-GGA) for PrDy2Si2Ni2 after structural relaxation.

abc: 4.1910 4.1910 9.9050
angles: 77.79 77.79 60.00
Sites, in units of the cell vectors:
Pr: 0.0000 0.0000 0.0000
Dy: 0.1241 0.1241 0.6277
Dy: 0.8759 0.8759 0.3723
Si: 0.7389 0.7389 0.7832
Si: 0.2611 0.2611 0.2168
Ni: 0.5964 0.5964 0.2108
Ni: 0.4036 0.4036 0.7892

The value obtained for the raw formation energy is -4.364 eV/f.u.

# 7
Density functional theory data (PBE-GGA) for ErZnIn2 after structural relaxation.

abc: 3.6073 3.6073 7.1572
angles: 90.00 90.00 90.00
Last column: magnetic moment on the atom in μB.
Sites, in units of the cell vectors:
Zn: 0.5000 0.5000 0.0000  0.01
In: 0.0000 0.0000 0.7837  0.01
In: 0.0000 0.0000 0.2163  0.01
Er: 0.5000 0.5000 0.5000  0.20

The formation energy comes out at -17.07 kJ/mol of atoms.

# 8
Density functional theory data (PBE-GGA) for Y5HoErTm2 after structural relaxation.

abc: 5.5682 10.3283 10.5262
angles: 90.00 90.00 105.64
Sites, in units of the cell vectors:
Y: 0.3853 0.7706 0.0230
Y: 0.7211 0.4421 0.8149
Y: 0.4800 0.9599 0.7382
Y: 0.3004 0.6008 0.7057
Y: 0.9829 0.9659 0.5214
Y: 0.6147 0.2294 0.5230
Y: 0.2789 0.5579 0.3149
Y: 0.5200 0.0401 0.2382
Y: 0.6996 0.3992 0.2057
Y: 0.0171 0.0341 0.0214
Ho: 0.8036 0.6071 0.5130
Ho: 0.1964 0.3929 0.0130
Er: 0.5878 0.1757 0.9542
Er: 0.4122 0.8243 0.4542
Tm: 0.8879 0.7759 0.8147
Tm: 0.1101 0.2203 0.7388
Tm: 0.1121 0.2241 0.3147
Tm: 0.8899 0.7797 0.2388

The formation energy comes out at 15.33 kJ/mol of atoms.

| no. | Fermi-level density of states (states/eV/f.u.) | magnetization (μB per cell) |
| --- | --- | --- |
| 1 | 6.06 | 0.0 |
| 2 | 3.35 | 7.3 |
| 3 | 7.44 | 1.8 |
| 4 | 2.35 | 0.0 |
| 5 | 3.25 | 2.8 |
| 6 | 3.17 | 0.0 |
| 7 | 2.88 | 0.3 |
| 8 | 16.32 | 0.0 |